The following is a PBE-GGA calculation of a relaxed KSiP2 crystal, from Alexandria.

## Properties
- distance to the lowest polymorph of the same formula (meV per atom) = 364
- uncorrected formation energy (kJ per mole of atoms) = 25.0
- DOS(E_F) (states/eV/f.u.) = 2.30

abc: 5.825 5.825 5.825
angles: 148.52 118.53 70.70
Fractional coordinates of all 4 atoms:
K (0.000, 0.000, 0.000)
Si (0.680, 0.180, 0.500)
P (0.320, 0.820, 0.500)
P (0.488, 0.488, 0.000)